# BaLa2P2 PBE-GGA optimized geometry
data_BaLa2P2
_chemical_formula_sum 'Ba2 La4 P4'
_space_group_name_H-M_alt 'P 4/m b m'
_space_group_IT_number 127
_space_group_name_Hall '-P 4 2ab'
_cell_length_a 8.385
_cell_length_b 8.385
_cell_length_c 4.003
_cell_angle_alpha 90.00
_cell_angle_beta 90.00
_cell_angle_gamma 90.00
loop_
_atom_site_label
_atom_site_fract_x
_atom_site_fract_y
_atom_site_fract_z
Ba1 0.000 0.000 0.000
La1 0.147 0.353 0.500
P1 0.150 0.650 0.000
# Energy above the most stable polymorph in this dataset (eV per formula unit): 0.000
# Spin magnetization (μB per cell): 0.00
# ΔH_f (0 K) (eV/atom): -1.052
# DOS at the Fermi energy (states/eV per cell): 9.179
# Mass density (g cm⁻³): 5.63

# Cu2As PBE-GGA optimized geometry
data_Cu2As
_chemical_formula_sum 'Cu8 As4'
_space_group_name_H-M_alt 'C 1 m 1'
_space_group_IT_number 8
_space_group_name_Hall 'C -2y'
_cell_length_a 9.793
_cell_length_b 2.858
_cell_length_c 6.170
_cell_angle_alpha 90.00
_cell_angle_beta 91.48
_cell_angle_gamma 90.00
loop_
_atom_site_label
_atom_site_fract_x
_atom_site_fract_y
_atom_site_fract_z
Cu1 0.000 0.000 0.000
Cu2 0.110 0.500 0.304
Cu3 0.235 0.500 0.946
Cu4 0.386 0.000 0.683
As1 0.113 0.000 0.648
As2 0.350 0.000 0.257
# Spin magnetization (μB per cell): 0.00
# ΔH_f (0 K) (eV/atom): 0.082
# DOS at the Fermi energy (states/eV per cell): 3.363
# Mass density (g cm⁻³): 7.77

# Ca2AgB3Pt12 PBE-GGA optimized geometry
data_Ca2AgB3Pt12
_chemical_formula_sum 'Ca6 Ag3 B9 Pt36'
_space_group_name_H-M_alt 'R -3 m'
_space_group_IT_number 166
_space_group_name_Hall '-R 3 2"'
_cell_length_a 8.0820
_cell_length_b 8.0820
_cell_length_c 16.6875
_cell_angle_alpha 90.00
_cell_angle_beta 90.00
_cell_angle_gamma 120.00
loop_
_atom_site_label
_atom_site_fract_x
_atom_site_fract_y
_atom_site_fract_z
Ca1 0.0000 0.0000 0.0973
Ag1 0.0000 0.0000 0.5000
B1 0.0000 0.5000 0.0000
Pt1 0.0201 0.5100 0.8752
Pt2 0.0608 0.5304 0.3508
# Spin magnetization (μB per cell): 0.00
# ΔH_f (0 K) (eV/atom): -0.182
# DOS at the Fermi energy (states/eV per cell): 28.155
# Mass density (g cm⁻³): 13.52

# AcTm3Sn3 PBE-GGA optimized geometry
data_AcTm3Sn3
_chemical_formula_sum 'Ac2 Tm6 Sn6'
_space_group_name_H-M_alt 'P 63/m'
_space_group_IT_number 176
_space_group_name_Hall '-P 6c'
_cell_length_a 9.3747
_cell_length_b 9.3747
_cell_length_c 5.4015
_cell_angle_alpha 90.00
_cell_angle_beta 90.00
_cell_angle_gamma 120.00
loop_
_atom_site_label
_atom_site_fract_x
_atom_site_fract_y
_atom_site_fract_z
Ac1 0.3333 0.6667 0.2500
Tm1 0.0024 0.7688 0.2500
Sn1 0.0705 0.6335 0.7500
# Spin magnetization (μB per cell): 0.00
# ΔH_f (0 K) (eV/atom): -0.517
# DOS at the Fermi energy (states/eV per cell): 14.271
# Mass density (g cm⁻³): 8.80

# PmEuHoIn PBE-GGA optimized geometry
data_PmEuHoIn
_chemical_formula_sum 'Pm4 Eu4 Ho4 In4'
_space_group_name_H-M_alt 'F -4 3 m'
_space_group_IT_number 216
_space_group_name_Hall 'F -4 2 3'
_cell_length_a 7.883
_cell_length_b 7.883
_cell_length_c 7.883
_cell_angle_alpha 90.00
_cell_angle_beta 90.00
_cell_angle_gamma 90.00
loop_
_atom_site_label
_atom_site_fract_x
_atom_site_fract_y
_atom_site_fract_z
Pm1 0.000 0.000 0.000
Eu1 0.250 0.250 0.250
Ho1 0.250 0.250 0.750
In1 0.000 0.000 0.500
# Spin magnetization (μB per cell): 31.15
# ΔH_f (0 K) (eV/atom): -0.073
# DOS at the Fermi energy (states/eV per cell): 22.799
# Mass density (g cm⁻³): 7.82

# KAl2In2Au6 PBE-GGA optimized geometry
data_KAl2In2Au6
_chemical_formula_sum 'K1 Al2 In2 Au6'
_space_group_name_H-M_alt 'P -1'
_space_group_IT_number 2
_space_group_name_Hall '-P 1'
_cell_length_a 5.628
_cell_length_b 5.706
_cell_length_c 8.380
_cell_angle_alpha 74.41
_cell_angle_beta 74.96
_cell_angle_gamma 61.69
loop_
_atom_site_label
_atom_site_fract_x
_atom_site_fract_y
_atom_site_fract_z
K1 0.000 0.000 0.000
Al1 0.347 0.348 0.001
In1 0.393 0.405 0.373
Au1 0.069 0.571 0.752
Au2 0.111 0.100 0.587
Au3 0.440 0.930 0.246
# Spin magnetization (μB per cell): 0.00
# ΔH_f (0 K) (eV/atom): -0.208
# DOS at the Fermi energy (states/eV per cell): 3.514
# Mass density (g cm⁻³): 11.08

# Tb4PrGd PBE-GGA optimized geometry
data_Tb4PrGd
_chemical_formula_sum 'Tb16 Pr4 Gd4'
_space_group_name_H-M_alt 'F -4 3 m'
_space_group_IT_number 216
_space_group_name_Hall 'F -4 2 3'
_cell_length_a 9.393
_cell_length_b 9.393
_cell_length_c 9.393
_cell_angle_alpha 90.00
_cell_angle_beta 90.00
_cell_angle_gamma 90.00
loop_
_atom_site_label
_atom_site_fract_x
_atom_site_fract_y
_atom_site_fract_z
Tb1 0.125 0.125 0.125
Pr1 0.000 0.000 0.500
Gd1 0.250 0.250 0.750
# Spin magnetization (μB per cell): 33.53
# ΔH_f (0 K) (eV/atom): 0.251
# DOS at the Fermi energy (states/eV per cell): 53.809
# Mass density (g cm⁻³): 7.49

# MnCuPH PBE-GGA optimized geometry
data_MnCuPH
_chemical_formula_sum 'Mn1 Cu1 P1 H1'
_space_group_name_H-M_alt 'P 1 m 1'
_space_group_IT_number 6
_space_group_name_Hall 'P -2y'
_cell_length_a 2.849
_cell_length_b 2.875
_cell_length_c 5.124
_cell_angle_alpha 90.00
_cell_angle_beta 90.52
_cell_angle_gamma 90.00
loop_
_atom_site_label
_atom_site_fract_x
_atom_site_fract_y
_atom_site_fract_z
Mn1 0.000 0.000 0.000
Cu1 0.514 0.500 0.340
P1 0.497 0.500 0.792
H1 0.901 0.000 0.323
# Energy above the most stable polymorph in this dataset (eV per formula unit): 0.200
# Spin magnetization (μB per cell): 0.77
# DOS at the Fermi energy (states/eV per cell): 2.620
# Mass density (g cm⁻³): 5.95

# Pm3Dy3Er5 PBE-GGA optimized geometry
data_Pm3Dy3Er5
_chemical_formula_sum 'Pm3 Dy3 Er5'
_space_group_name_H-M_alt 'P -6 2 m'
_space_group_IT_number 189
_space_group_name_Hall 'P -6 -2'
_cell_length_a 9.6165
_cell_length_b 9.6165
_cell_length_c 5.4476
_cell_angle_alpha 90.00
_cell_angle_beta 90.00
_cell_angle_gamma 120.00
loop_
_atom_site_label
_atom_site_fract_x
_atom_site_fract_y
_atom_site_fract_z
Pm1 0.0000 0.6329 0.0000
Dy1 0.0000 0.4495 0.5000
Er1 0.0000 0.2661 0.0000
Er2 0.3333 0.6667 0.0000
# Spin magnetization (μB per cell): 0.00
# ΔH_f (0 K) (eV/atom): 0.817
# DOS at the Fermi energy (states/eV per cell): 16.936
# Mass density (g cm⁻³): 6.69

# La4NdY3S8 PBE-GGA optimized geometry
data_La4NdY3S8
_chemical_formula_sum 'La12 Nd3 Y9 S24'
_space_group_name_H-M_alt 'R -3 m'
_space_group_IT_number 166
_space_group_name_Hall '-R 3 2"'
_cell_length_a 8.0869
_cell_length_b 8.0869
_cell_length_c 20.0084
_cell_angle_alpha 90.00
_cell_angle_beta 90.00
_cell_angle_gamma 120.00
loop_
_atom_site_label
_atom_site_fract_x
_atom_site_fract_y
_atom_site_fract_z
La1 0.0000 0.0000 0.0000
La2 0.0000 0.5000 0.0000
Nd1 0.0000 0.0000 0.5000
Y1 0.0000 0.5000 0.5000
S1 0.0000 0.0000 0.2435
S2 0.0069 0.5034 0.7550
# Formation energy (no corrections) (eV/atom): -2.0867
# Spin magnetization (μB per cell): 0.00
# DOS at the Fermi energy (states/eV per cell): 26.629
# Mass density (g cm⁻³): 5.38

# AuBr5 PBE-GGA optimized geometry
data_AuBr5
_chemical_formula_sum 'Au1 Br5'
_space_group_name_H-M_alt 'P 4/m m m'
_space_group_IT_number 123
_space_group_name_Hall '-P 4 2'
_cell_length_a 2.832
_cell_length_b 2.832
_cell_length_c 25.434
_cell_angle_alpha 90.00
_cell_angle_beta 90.00
_cell_angle_gamma 90.00
loop_
_atom_site_label
_atom_site_fract_x
_atom_site_fract_y
_atom_site_fract_z
Au1 0.000 0.000 0.000
Br1 0.000 0.000 0.326
Br2 0.500 0.500 0.157
Br3 0.500 0.500 0.500
# Energy above the most stable polymorph in this dataset (eV per formula unit): 1.442
# Formation energy (no corrections) (eV/atom): 0.2991
# Spin magnetization (μB per cell): 0.00
# DOS at the Fermi energy (states/eV per cell): 3.637
# Mass density (g cm⁻³): 4.86

# B2C3 PBE-GGA optimized geometry
data_B2C3
_chemical_formula_sum 'B8 C12'
_space_group_name_H-M_alt 'I -4 m 2'
_space_group_IT_number 119
_space_group_name_Hall 'I -4 -2'
_cell_length_a 2.493
_cell_length_b 2.493
_cell_length_c 20.893
_cell_angle_alpha 90.00
_cell_angle_beta 90.00
_cell_angle_gamma 90.00
loop_
_atom_site_label
_atom_site_fract_x
_atom_site_fract_y
_atom_site_fract_z
B1 0.000 0.000 0.113
B2 0.000 0.500 0.549
C1 0.000 0.000 0.294
C2 0.000 0.000 0.500
C3 0.000 0.500 0.164
C4 0.000 0.500 0.750
# Energy above the most stable polymorph in this dataset (eV per formula unit): 0.487
# Spin magnetization (μB per cell): 0.00
# ΔH_f (0 K) (eV/atom): 0.333
# DOS at the Fermi energy (states/eV per cell): 1.800
# Mass density (g cm⁻³): 2.95

# NaIr PBE-GGA optimized geometry
data_NaIr
_chemical_formula_sum 'Na6 Ir6'
_space_group_name_H-M_alt 'P m -3 n'
_space_group_IT_number 223
_space_group_name_Hall '-P 4n 2 3'
_cell_length_a 8.464
_cell_length_b 8.464
_cell_length_c 8.464
_cell_angle_alpha 90.00
_cell_angle_beta 90.00
_cell_angle_gamma 90.00
loop_
_atom_site_label
_atom_site_fract_x
_atom_site_fract_y
_atom_site_fract_z
Na1 0.000 0.250 0.500
Ir1 0.000 0.500 0.250
# Spin magnetization (μB per cell): 12.00
# ΔH_f (0 K) (eV/atom): 2.344
# DOS at the Fermi energy (states/eV per cell): 22.308
# Mass density (g cm⁻³): 3.54

# SrMoAsBr2 PBE-GGA optimized geometry
data_SrMoAsBr2
_chemical_formula_sum 'Sr1 Mo1 As1 Br2'
_space_group_name_H-M_alt 'P 4/m m m'
_space_group_IT_number 123
_space_group_name_Hall '-P 4 2'
_cell_length_a 5.742
_cell_length_b 5.742
_cell_length_c 6.199
_cell_angle_alpha 90.00
_cell_angle_beta 90.00
_cell_angle_gamma 90.00
loop_
_atom_site_label
_atom_site_fract_x
_atom_site_fract_y
_atom_site_fract_z
Sr1 0.000 0.000 0.000
Mo1 0.500 0.500 0.500
As1 0.000 0.000 0.500
Br1 0.000 0.500 0.000
# Energy above the most stable polymorph in this dataset (eV per formula unit): 4.298
# Formation energy (no corrections) (eV/atom): 0.4201
# Spin magnetization (μB per cell): 3.00
# DOS at the Fermi energy (states/eV per cell): 2.640
# Mass density (g cm⁻³): 3.40

# LaZrCd PBE-GGA optimized geometry
data_LaZrCd
_chemical_formula_sum 'La2 Zr2 Cd2'
_space_group_name_H-M_alt 'I 4 m m'
_space_group_IT_number 107
_space_group_name_Hall 'I 4 -2'
_cell_length_a 3.431
_cell_length_b 3.431
_cell_length_c 13.752
_cell_angle_alpha 90.00
_cell_angle_beta 90.00
_cell_angle_gamma 90.00
loop_
_atom_site_label
_atom_site_fract_x
_atom_site_fract_y
_atom_site_fract_z
La1 0.000 0.000 0.000
Zr1 0.000 0.000 0.321
Cd1 0.000 0.000 0.683
# Energy above the most stable polymorph in this dataset (eV per formula unit): 0.180
# Spin magnetization (μB per cell): 0.00
# ΔH_f (0 K) (eV/atom): -0.049
# DOS at the Fermi energy (states/eV per cell): 4.802
# Mass density (g cm⁻³): 7.03

# Ba12Ge3F5 PBE-GGA optimized geometry
data_Ba12Ge3F5
_chemical_formula_sum 'Ba96 Ge24 F40'
_space_group_name_H-M_alt 'I a -3 d'
_space_group_IT_number 230
_space_group_name_Hall '-I 4bd 2c 3'
_cell_length_a 18.037
_cell_length_b 18.037
_cell_length_c 18.037
_cell_angle_alpha 90.00
_cell_angle_beta 90.00
_cell_angle_gamma 90.00
loop_
_atom_site_label
_atom_site_fract_x
_atom_site_fract_y
_atom_site_fract_z
Ba1 0.031 0.060 0.655
Ge1 0.000 0.250 0.125
F1 0.000 0.000 0.000
F2 0.000 0.250 0.375
# Formation energy (no corrections) (eV/atom): -1.5336
# Spin magnetization (μB per cell): 37.37
# DOS at the Fermi energy (states/eV per cell): 89.082
# Mass density (g cm⁻³): 4.44

# PmPaTcAs PBE-GGA optimized geometry
data_PmPaTcAs
_chemical_formula_sum 'Pm4 Pa4 Tc4 As4'
_space_group_name_H-M_alt 'F -4 3 m'
_space_group_IT_number 216
_space_group_name_Hall 'F -4 2 3'
_cell_length_a 7.065
_cell_length_b 7.065
_cell_length_c 7.065
_cell_angle_alpha 90.00
_cell_angle_beta 90.00
_cell_angle_gamma 90.00
loop_
_atom_site_label
_atom_site_fract_x
_atom_site_fract_y
_atom_site_fract_z
Pm1 0.000 0.000 0.000
Pa1 0.000 0.000 0.500
Tc1 0.250 0.250 0.250
As1 0.250 0.250 0.750
# Spin magnetization (μB per cell): 0.00
# ΔH_f (0 K) (eV/atom): -0.196
# DOS at the Fermi energy (states/eV per cell): 23.181
# Mass density (g cm⁻³): 10.34

# TbSm2TlN PBE-GGA optimized geometry
data_TbSm2TlN
_chemical_formula_sum 'Tb1 Sm2 Tl1 N1'
_space_group_name_H-M_alt 'P 4/m m m'
_space_group_IT_number 123
_space_group_name_Hall '-P 4 2'
_cell_length_a 4.961
_cell_length_b 4.961
_cell_length_c 4.855
_cell_angle_alpha 90.00
_cell_angle_beta 90.00
_cell_angle_gamma 90.00
loop_
_atom_site_label
_atom_site_fract_x
_atom_site_fract_y
_atom_site_fract_z
Tb1 0.000 0.000 0.000
Sm1 0.000 0.500 0.500
Tl1 0.500 0.500 0.000
N1 0.000 0.000 0.500
# Formation energy (no corrections) (eV/atom): -0.8830
# Spin magnetization (μB per cell): 0.00
# DOS at the Fermi energy (states/eV per cell): 2.430
# Mass density (g cm⁻³): 9.42

# CrCoMo4 PBE-GGA optimized geometry
data_CrCoMo4
_chemical_formula_sum 'Cr4 Co4 Mo16'
_space_group_name_H-M_alt 'F -4 3 m'
_space_group_IT_number 216
_space_group_name_Hall 'F -4 2 3'
_cell_length_a 7.280
_cell_length_b 7.280
_cell_length_c 7.280
_cell_angle_alpha 90.00
_cell_angle_beta 90.00
_cell_angle_gamma 90.00
loop_
_atom_site_label
_atom_site_fract_x
_atom_site_fract_y
_atom_site_fract_z
Cr1 0.000 0.000 0.000
Co1 0.250 0.250 0.250
Mo1 0.125 0.125 0.625
# Spin magnetization (μB per cell): 15.87
# ΔH_f (0 K) (eV/atom): 0.598
# DOS at the Fermi energy (states/eV per cell): 35.030
# Mass density (g cm⁻³): 8.52

# NdYInN3 PBE-GGA optimized geometry
data_NdYInN3
_chemical_formula_sum 'Nd2 Y2 In2 N6'
_space_group_name_H-M_alt 'P 1 21/m 1'
_space_group_IT_number 11
_space_group_name_Hall '-P 2yb'
_cell_length_a 6.609
_cell_length_b 3.394
_cell_length_c 9.523
_cell_angle_alpha 90.00
_cell_angle_beta 93.53
_cell_angle_gamma 90.00
loop_
_atom_site_label
_atom_site_fract_x
_atom_site_fract_y
_atom_site_fract_z
Nd1 0.193 0.250 0.246
Y1 0.332 0.750 0.894
In1 0.171 0.250 0.591
N1 0.103 0.250 0.812
N2 0.199 0.750 0.451
N3 0.404 0.750 0.131
# Formation energy (no corrections) (eV/atom): -0.7517
# Spin magnetization (μB per cell): 0.00
# Mass density (g cm⁻³): 6.07